{"formula": "LiMg2Zn2NiPt2", "functional": "PBE-GGA", "state": "relaxed", "e_tot_ev_per_cell": -29.52, "magmom_total_mub_per_cell": 0.00, "lattice": [[4.359, 0.000, 0.000], [0.000, 4.359, 0.000], [0.000, 0.000, 6.109]], "species": ["Li", "Mg", "Mg", "Zn", "Zn", "Ni", "Pt", "Pt"], "frac_coords": [[0.000, 0.000, 0.000], [0.000, 0.500, 0.744], [0.500, 0.000, 0.256], [0.000, 0.500, 0.257], [0.500, 0.000, 0.743], [0.500, 0.500, 0.500], [0.000, 0.000, 0.500], [0.500, 0.500, 0.000]]}